No. 1
# CsPaRuN3

A geometry-optimized CsPaRuN3 structure (PBE, Alexandria via LeMat-Bulk).

Its energy is -8.07 eV/atom.

The space group is P2_1/m (No. 11) and the conventional cell measures 7.938, 3.591 and 9.510 Å, with angles of 90.00, 110.13 and 90.00 degrees. Symmetry generates all atoms from Cs at (0.228, 0.250, 0.250), Pa at (0.349, 0.250, 0.847), Ru at (0.123, 0.750, 0.562), N at (0.064, 0.250, 0.643), N at (0.359, 0.750, 0.999) and N at (0.369, 0.750, 0.705).

No. 2
# CsPaSN

A geometry-optimized CsPaSN structure (PBE, Alexandria via LeMat-Bulk).

Its energy is -6.83 eV/atom.

The space group is P3m1 (No. 156) and the conventional cell measures 3.6840, 3.6840 and 8.0645 Å, with angles of 90.00, 90.00 and 120.00 degrees. Symmetry generates all atoms from Cs at (0.0000, 0.0000, 0.0000), Pa at (0.6667, 0.3333, 0.4526), S at (0.3333, 0.6667, 0.6871) and N at (0.3333, 0.6667, 0.3291).

No. 3
# Cs4Pa3SiN8

A geometry-optimized Cs4Pa3SiN8 structure (PBE, Alexandria via LeMat-Bulk).

Its energy is -7.13 eV/atom.

The space group is C2/m (No. 12) and the conventional cell measures 12.841, 6.798 and 8.034 Å, with angles of 90.00, 117.35 and 90.00 degrees. Symmetry generates all atoms from Cs at (0.000, 0.000, 0.000), Cs at (0.000, 0.500, 0.000), Cs at (0.250, 0.250, 0.000), Pa at (0.000, 0.000, 0.500), Pa at (0.250, 0.250, 0.500), Si at (0.000, 0.500, 0.500), N at (0.037, 0.294, 0.376), N at (0.201, 0.000, 0.648) and N at (0.231, 0.000, 0.318).

No. 4
# CsPaSnN3

A geometry-optimized CsPaSnN3 structure (PBE, Alexandria via LeMat-Bulk).

Its energy is -7.14 eV/atom.

The space group is P2_1/m (No. 11) and the conventional cell measures 7.704, 3.566 and 10.918 Å, with angles of 90.00, 109.88 and 90.00 degrees. Symmetry generates all atoms from Cs at (0.234, 0.250, 0.253), Pa at (0.348, 0.750, 0.864), Sn at (0.171, 0.250, 0.602), N at (0.147, 0.250, 0.793), N at (0.337, 0.750, 0.643) and N at (0.457, 0.750, 0.085).

No. 5
# CsSr3Pa2N6

A geometry-optimized CsSr3Pa2N6 structure (PBE, Alexandria via LeMat-Bulk).

Its energy is -7.17 eV/atom.

The space group is C2/m (No. 12) and the conventional cell measures 17.384, 3.711 and 7.363 Å, with angles of 90.00, 99.39 and 90.00 degrees. Symmetry generates all atoms from Cs at (0.000, 0.000, 0.000), Sr at (0.000, 0.000, 0.500), Sr at (0.175, 0.500, 0.844), Pa at (0.176, 0.500, 0.343), N at (0.057, 0.500, 0.331), N at (0.182, 0.000, 0.141) and N at (0.194, 0.000, 0.584).

No. 6
# CsPaTaN4

A geometry-optimized CsPaTaN4 structure (PBE, Alexandria via LeMat-Bulk).

Its energy is -8.70 eV/atom.

The space group is P2_1/m (No. 11) and the conventional cell measures 6.150, 6.054 and 8.248 Å, with angles of 90.00, 101.87 and 90.00 degrees. Symmetry generates all atoms from Cs at (0.177, 0.250, 0.099), Pa at (0.166, 0.750, 0.464), Ta at (0.374, 0.250, 0.657), N at (0.149, 0.016, 0.650), N at (0.307, 0.750, 0.238) and N at (0.448, 0.250, 0.445).

No. 7
# Cs4Pa3TaN8

A geometry-optimized Cs4Pa3TaN8 structure (PBE, Alexandria via LeMat-Bulk).

Its energy is -7.84 eV/atom.

The space group is R-3m (No. 166, hexagonal axes) and the conventional cell measures 7.0797, 7.0797 and 21.2244 Å, with angles of 90.00, 90.00 and 120.00 degrees. Symmetry generates all atoms from Cs at (0.0000, 0.0000, 0.0000), Cs at (0.0000, 0.5000, 0.0000), Pa at (0.0000, 0.5000, 0.5000), Ta at (0.0000, 0.0000, 0.5000), N at (0.0000, 0.0000, 0.2148) and N at (0.0163, 0.5081, 0.2154).

No. 8
# CsPaTcN4

A geometry-optimized CsPaTcN4 structure (PBE, Alexandria via LeMat-Bulk).

Its energy is -8.30 eV/atom.

The space group is P2_1/m (No. 11) and the conventional cell measures 6.094, 5.849 and 8.376 Å, with angles of 90.00, 106.81 and 90.00 degrees. Symmetry generates all atoms from Cs at (0.218, 0.250, 0.433), Pa at (0.297, 0.250, 0.954), Tc at (0.239, 0.750, 0.140), N at (0.029, 0.750, 0.941), N at (0.046, 0.750, 0.269) and N at (0.461, 0.514, 0.153).